# Li2VBrO GGA+U relaxed
# **Electronic total energy**: -3.085 eV per atom
# **Crystal system**: tetragonal
data_Li2VBrO
_chemical_formula_sum 'Li2 V1 Br1 O1'
_cell_length_a 4.436
_cell_length_b 4.436
_cell_length_c 4.898
_cell_angle_alpha 90.00
_cell_angle_beta 90.00
_cell_angle_gamma 90.00
_symmetry_space_group_name_H-M 'P 4/m m m'
_symmetry_Int_Tables_number 123
_symmetry_space_group_name_Hall '-P 4 2'
loop_
_atom_site_label
_atom_site_type_symbol
_atom_site_fract_x
_atom_site_fract_y
_atom_site_fract_z
Li1 Li 0.000 0.500 0.000
V1 V 0.000 0.000 0.500
Br1 Br 0.000 0.000 0.000
O1 O 0.500 0.500 0.500